No. 1
# LuAlHgPd

A relaxed structure of LuAlHgPd (PBE, Alexandria).

Cell: 4.7696 4.7696 4.7696 Å, 60.00 60.00 60.00°
Sites, in units of the cell vectors:
Lu 0.0000 0.0000 0.0000
Al 0.5000 0.5000 0.5000
Hg 0.7500 0.7500 0.7500
Pd 0.2500 0.2500 0.2500

Properties
total DFT energy (no corrections) = -4.004 eV/atom
N(E_F) = 1.17 states/eV per cell
space group = No. 216
total magnetic moment = 0.00 μB per formula unit

No. 2
# BaSc2Te

A relaxed structure of BaSc2Te (PBE, Alexandria).

Cell: 4.1931 4.5746 7.2848 Å, 90.00 106.62 90.00°
Sites, in units of the cell vectors:
Ba 0.0000 0.0000 0.0000
Sc 0.2552 0.0000 0.5070
Sc 0.7233 0.5000 0.4432
Te 0.3842 0.5000 0.7668

Properties
formation energy from raw total energies = -450 meV/atom
N(E_F) = 5.08 states/eV per cell
space group = No. 6
total magnetic moment = 1.48 μB per formula unit

No. 3
# LaTb2NdSe6

A relaxed structure of LaTb2NdSe6 (PBE, Alexandria).

Cell: 7.8097 7.8097 7.8097 Å, 56.69 56.69 56.69°
Sites, in units of the cell vectors:
La 0.0000 0.0000 0.0000
Tb 0.2953 0.2953 0.2953
Tb 0.7967 0.7967 0.7967
Nd 0.4972 0.4972 0.4972
Se 0.0822 0.6763 0.4180
Se 0.1853 0.5833 0.9091
Se 0.4180 0.0822 0.6763
Se 0.5833 0.9091 0.1853
Se 0.6763 0.4180 0.0822
Se 0.9091 0.1853 0.5833

Properties
formation energy from raw total energies = -1883 meV/atom
N(E_F) = 0.00 states/eV per cell
space group = No. 146
total magnetic moment = 0.00 μB per formula unit

No. 4
# Cs2CdAgBr6

A relaxed structure of Cs2CdAgBr6 (PBE, Alexandria).

Cell: 7.9553 7.9635 13.6323 Å, 90.00 125.58 90.00°
Sites, in units of the cell vectors:
Cs 0.2503 0.0005 0.2500
Cs 0.2503 0.4995 0.7500
Cs 0.7497 0.5005 0.2500
Cs 0.7497 0.9995 0.7500
Cd 0.0000 0.0000 0.5000
Cd 0.0000 0.5000 0.0000
Ag 0.5000 0.0000 0.0000
Ag 0.5000 0.5000 0.5000
Br 0.2313 0.7335 0.9977
Br 0.2313 0.7665 0.4977
Br 0.2559 0.2415 0.9977
Br 0.2559 0.2585 0.4977
Br 0.2670 0.5014 0.2618
Br 0.2670 0.9986 0.7618
Br 0.7330 0.0014 0.2382
Br 0.7330 0.4986 0.7382
Br 0.7441 0.7415 0.5023
Br 0.7441 0.7585 0.0023
Br 0.7687 0.2335 0.5023
Br 0.7687 0.2665 0.0023

Properties
formation energy from raw total energies = -1043 meV/atom
N(E_F) = 9.40 states/eV per cell
space group = No. 14
total magnetic moment = 0.00 μB per formula unit

No. 5
# AcThS2

A relaxed structure of AcThS2 (PBE, Alexandria).

Cell: 7.3281 7.3281 7.3281 Å, 32.73 32.73 32.73°
Sites, in units of the cell vectors:
Ac 0.0000 0.0000 0.0000
Th 0.5000 0.5000 0.5000
S 0.2446 0.2446 0.2446
S 0.7554 0.7554 0.7554

Properties
formation energy from raw total energies = -1896 meV/atom
polymorph energy (0 for the lowest one) = 0.0 meV/atom
N(E_F) = 2.04 states/eV per cell
space group = No. 166
total magnetic moment = 0.00 μB per formula unit

No. 6
# ErGeRu2

A relaxed structure of ErGeRu2 (PBE, Alexandria).

Cell: 3.2112 3.2112 6.4000 Å, 90.00 90.00 90.00°
Sites, in units of the cell vectors:
Er 0.0000 0.0000 0.0000
Ge 0.0000 0.0000 0.5000
Ru 0.5000 0.5000 0.2832
Ru 0.5000 0.5000 0.7168

Properties
total DFT energy (no corrections) = -7.280 eV/atom
N(E_F) = 3.35 states/eV per cell
space group = No. 123
total magnetic moment = 0.00 μB per formula unit

No. 7
# Rb12Ag5Sb3

A relaxed structure of Rb12Ag5Sb3 (PBE, Alexandria).

Cell: 18.3101 18.3101 18.3101 Å, 109.47 109.47 109.47°
Sites, in units of the cell vectors:
Rb 0.0557 0.2269 0.1387
Rb 0.0557 0.3288 0.9170
Rb 0.0830 0.6387 0.4118
Rb 0.0830 0.9443 0.6712
Rb 0.0882 0.7269 0.6712
Rb 0.0882 0.8613 0.4170
Rb 0.1387 0.0557 0.2269
Rb 0.1387 0.5830 0.9118
Rb 0.1712 0.2269 0.5882
Rb 0.1712 0.4443 0.5830
Rb 0.2269 0.1387 0.0557
Rb 0.2269 0.5882 0.1712
Rb 0.2731 0.3288 0.9118
Rb 0.2731 0.4443 0.3613
Rb 0.3288 0.9118 0.2731
Rb 0.3288 0.9170 0.0557
Rb 0.3613 0.2731 0.4443
Rb 0.3613 0.5882 0.9170
Rb 0.4118 0.0830 0.6387
Rb 0.4118 0.8288 0.7731
Rb 0.4170 0.0882 0.8613
Rb 0.4170 0.8288 0.5557
Rb 0.4443 0.3613 0.2731
Rb 0.4443 0.5830 0.1712
Rb 0.5557 0.4170 0.8288
Rb 0.5557 0.6387 0.7269
Rb 0.5830 0.1712 0.4443
Rb 0.5830 0.9118 0.1387
Rb 0.5882 0.1712 0.2269
Rb 0.5882 0.9170 0.3613
Rb 0.6387 0.4118 0.0830
Rb 0.6387 0.7269 0.5557
Rb 0.6712 0.0830 0.9443
Rb 0.6712 0.0882 0.7269
Rb 0.7269 0.5557 0.6387
Rb 0.7269 0.6712 0.0882
Rb 0.7731 0.4118 0.8288
Rb 0.7731 0.8613 0.9443
Rb 0.8288 0.5557 0.4170
Rb 0.8288 0.7731 0.4118
Rb 0.8613 0.4170 0.0882
Rb 0.8613 0.9443 0.7731
Rb 0.9118 0.1387 0.5830
Rb 0.9118 0.2731 0.3288
Rb 0.9170 0.0557 0.3288
Rb 0.9170 0.3613 0.5882
Rb 0.9443 0.6712 0.0830
Rb 0.9443 0.7731 0.8613
Ag 0.0000 0.0000 0.0000
Ag 0.0000 0.0000 0.5000
Ag 0.0000 0.5000 0.0000
Ag 0.0000 0.5000 0.5000
Ag 0.1250 0.7500 0.8750
Ag 0.1250 0.8750 0.2500
Ag 0.2500 0.1250 0.8750
Ag 0.2500 0.6250 0.3750
Ag 0.3750 0.2500 0.6250
Ag 0.3750 0.6250 0.7500
Ag 0.5000 0.0000 0.0000
Ag 0.5000 0.0000 0.5000
Ag 0.5000 0.5000 0.0000
Ag 0.5000 0.5000 0.5000
Ag 0.6250 0.3750 0.2500
Ag 0.6250 0.7500 0.3750
Ag 0.7500 0.3750 0.6250
Ag 0.7500 0.8750 0.1250
Ag 0.8750 0.1250 0.7500
Ag 0.8750 0.2500 0.1250
Sb 0.1250 0.2500 0.3750
Sb 0.1250 0.3750 0.7500
Sb 0.2500 0.3750 0.1250
Sb 0.2500 0.8750 0.6250
Sb 0.3750 0.1250 0.2500
Sb 0.3750 0.7500 0.1250
Sb 0.6250 0.2500 0.8750
Sb 0.6250 0.8750 0.7500
Sb 0.7500 0.1250 0.3750
Sb 0.7500 0.6250 0.8750
Sb 0.8750 0.6250 0.2500
Sb 0.8750 0.7500 0.6250

Properties
formation energy from raw total energies = -11 meV/atom
N(E_F) = 70.58 states/eV per cell
space group = No. 230
total magnetic moment = 2.20 μB per formula unit

No. 8
# Pu2Cu3Au

A relaxed structure of Pu2Cu3Au (PBE, Alexandria).

Cell: 5.3749 5.3749 5.3749 Å, 59.81 59.81 59.81°
Sites, in units of the cell vectors:
Pu 0.1232 0.1232 0.1232
Pu 0.8768 0.8768 0.8768
Cu 0.0000 0.5000 0.5000
Cu 0.5000 0.0000 0.5000
Cu 0.5000 0.5000 0.0000
Au 0.5000 0.5000 0.5000

Properties
total DFT energy (no corrections) = -7.478 eV/atom
N(E_F) = 16.50 states/eV per cell
space group = No. 166
total magnetic moment = 11.99 μB per formula unit

No. 9
# NdBe2ZnPd5

A relaxed structure of NdBe2ZnPd5 (PBE, Alexandria).

Cell: 4.4424 4.4424 7.0707 Å, 90.00 90.00 90.00°
Sites, in units of the cell vectors:
Nd 0.0000 0.0000 0.0000
Be 0.5000 0.5000 0.3379
Be 0.5000 0.5000 0.6621
Zn 0.0000 0.0000 0.5000
Pd 0.0000 0.5000 0.2920
Pd 0.0000 0.5000 0.7080
Pd 0.5000 0.0000 0.2920
Pd 0.5000 0.0000 0.7080
Pd 0.5000 0.5000 0.0000

Properties
total DFT energy (no corrections) = -4.905 eV/atom
N(E_F) = 2.90 states/eV per cell
space group = No. 123
total magnetic moment = 0.00 μB per formula unit

Repeat the fifth record exactly.
# AcThS2

A relaxed structure of AcThS2 (PBE, Alexandria).

Cell: 7.3281 7.3281 7.3281 Å, 32.73 32.73 32.73°
Sites, in units of the cell vectors:
Ac 0.0000 0.0000 0.0000
Th 0.5000 0.5000 0.5000
S 0.2446 0.2446 0.2446
S 0.7554 0.7554 0.7554

Properties
formation energy from raw total energies = -1896 meV/atom
polymorph energy (0 for the lowest one) = 0.0 meV/atom
N(E_F) = 2.04 states/eV per cell
space group = No. 166
total magnetic moment = 0.00 μB per formula unit

> Which value of N(E_F) does entry 4 give?

9.40 states/eV per cell

> What is the formula in the seventh record?

Rb12Ag5Sb3